1.
The following is a DFT calculation (PBE-GGA) of a geometry-optimized KGaHBr2 structure.

a b c (Å): 5.697 5.697 3.782
angles (deg): 90.00 90.00 90.00
Space group P4/mmm (No. 123)
One atom of each set of equivalent atoms:
K: 0.000 0.000 0.000 (multiplicity 1)
Ga: 0.500 0.500 0.500 (multiplicity 1)
H: 0.500 0.500 0.000 (multiplicity 1)
Br: 0.000 0.500 0.500 (multiplicity 2)

Calculated values
Total DFT energy (no corrections) ... -2.9655 eV per atom
Total moment ... 0.000 μB per formula unit
DOS(E_F) ... 0.261 states/eV per atom

---

2.
The following is a DFT calculation (PBE-GGA) of a geometry-optimized Na5Tl4Pb4 structure.

a b c (Å): 13.167 13.167 4.482
angles (deg): 90.00 90.00 90.00
Space group I4/m (No. 87)
One atom of each set of equivalent atoms:
Na: 0.000 0.000 0.000 (multiplicity 2)
Na: 0.039 0.796 0.500 (multiplicity 8)
Tl: 0.154 0.223 0.000 (multiplicity 8)
Pb: 0.079 0.611 0.000 (multiplicity 8)

Calculated values
ΔH_f (0 K) ... -0.086 eV per atom
Total DFT energy (no corrections) ... -2.4627 eV per atom
Total moment ... 0.000 μB per formula unit
DOS(E_F) ... 0.481 states/eV per atom